Record 1
This record from Alexandria describes a geometry-optimized SbC2 structure. The functional is GGA-PBE. Values from VASP.

Space group: Cmmm
VASP energy (eV for the cell shown): -53.5
E_form (uncorrected) (meV per atom): 1576

Quantum ESPRESSO input file:
```
&SYSTEM
  ibrav = 0, nat = 9, ntyp = 2
/
ATOMIC_SPECIES
Sb 121.76 Sb.upf
C 12.01 C.upf
CELL_PARAMETERS angstrom
4.0655 -4.8659 0.0000
4.0655 4.8659 0.0000
0.0000 0.0000 4.8866
ATOMIC_POSITIONS angstrom
Sb 0.0000 0.0000 0.0000
Sb 4.0655 -1.5908 2.4433
Sb 4.0655 1.5908 2.4433
C 4.7891 -3.6709 2.4433
C 6.6514 0.0000 2.4433
C 4.7891 3.6709 2.4433
C 3.3419 -3.6709 2.4433
C 1.4796 0.0000 2.4433
C 3.3419 3.6709 2.4433
```



Record 2
This record from Alexandria describes a geometry-optimized Sb3C structure. The functional is GGA-PBE. Values from VASP.

Space group: Pm-3n
VASP energy (eV for the cell shown): -29.7
E_form (uncorrected) (meV per atom): 1689

Quantum ESPRESSO input file:
```
&SYSTEM
  ibrav = 0, nat = 8, ntyp = 2
/
ATOMIC_SPECIES
Sb 121.76 Sb.upf
C 12.01 C.upf
CELL_PARAMETERS angstrom
5.7020 0.0000 0.0000
0.0000 5.7020 0.0000
0.0000 0.0000 5.7020
ATOMIC_POSITIONS angstrom
Sb 4.2765 2.8510 0.0000
Sb 1.4255 2.8510 0.0000
Sb 0.0000 4.2765 2.8510
Sb 0.0000 1.4255 2.8510
Sb 2.8510 0.0000 1.4255
Sb 2.8510 0.0000 4.2765
C 0.0000 0.0000 0.0000
C 2.8510 2.8510 2.8510
```



Record 3
This record from Alexandria describes a geometry-optimized SbC3 structure. The functional is GGA-PBE. Values from VASP.

Space group: I4/mmm
VASP energy (eV for the cell shown): -42.1
E_form (uncorrected) (meV per atom): 2692

Quantum ESPRESSO input file:
```
&SYSTEM
  ibrav = 0, nat = 8, ntyp = 2
/
ATOMIC_SPECIES
Sb 121.76 Sb.upf
C 12.01 C.upf
CELL_PARAMETERS angstrom
-1.7069 1.7069 9.0472
1.7069 -1.7069 9.0472
1.7069 1.7069 -9.0472
ATOMIC_POSITIONS angstrom
Sb 0.0000 0.0000 12.0621
Sb 0.0000 0.0000 6.0323
C 1.7069 0.0000 0.0000
C 0.0000 1.7069 0.0000
C 0.0000 1.7069 4.5236
C 1.7069 0.0000 4.5236
C 0.0000 0.0000 17.3338
C 0.0000 0.0000 0.7607
```